# 1
Mg2Co12As7 | the Alexandria database | PBE | optimized geometry; total energy = -6.03 eV/atom; formation energy from the elements = -272.6 meV/atom; calculated density = 7792 kg/m3
1.0
9.3789 0.0000 0.0000
-4.6895 8.1224 0.0000
0.0000 0.0000 3.5813
Mg Co As
2 12 7
Direct
0.0000 0.0000 0.0000
0.3333 0.6667 0.5000
0.0460 0.2732 0.5000
0.1097 0.7122 0.0000
0.2272 0.9540 0.5000
0.2878 0.3975 0.0000
0.3911 0.1795 0.0000
0.5346 0.4376 0.5000
0.5624 0.0970 0.5000
0.6025 0.8903 0.0000
0.7268 0.7728 0.5000
0.7884 0.6089 0.0000
0.8205 0.2116 0.0000
0.9030 0.4654 0.5000
0.0737 0.4520 0.0000
0.2580 0.2185 0.5000
0.3783 0.9263 0.0000
0.5480 0.6217 0.0000
0.6667 0.3333 0.0000
0.7815 0.0395 0.5000
0.9605 0.7420 0.5000

# 2
MgZn4Ag2 | the Alexandria database | PBE | optimized geometry; polymorph energy (0 for the lowest one) = 0 meV per atom; total energy = -1.82 eV/atom; formation energy from the elements = -54.4 meV/atom; calculated density = 7150 kg/m3
1.0
5.7503 0.0000 0.0000
-0.1483 6.7119 0.0000
-2.7955 -3.1644 6.0373
Mg Zn Ag
2 8 4
Direct
0.0000 0.0000 0.0000
0.2963 0.7339 0.5958
0.1659 0.5755 0.8530
0.4007 0.8637 0.3103
0.4363 0.3062 0.3922
0.5481 0.4334 0.1162
0.6755 0.5780 0.8540
0.8257 0.1667 0.6668
0.9003 0.8624 0.3101
0.9461 0.3063 0.3938
0.0555 0.4607 0.1322
0.3313 0.1825 0.6756
0.5206 0.9905 0.0463
0.7758 0.7002 0.5571

# 3
Zr2ReNi | the Alexandria database | PBE | optimized geometry; total energy = -8.75 eV/atom; formation energy from the elements = 78.2 meV/atom; calculated density = 10128 kg/m3
1.0
2.8449 0.0000 0.0000
0.0000 2.8449 0.0000
0.0000 0.0000 8.6570
Zr Re Ni
2 1 1
Direct
0.0000 0.0000 0.0000
0.5000 0.5000 0.3157
0.5000 0.5000 0.7317
0.0000 0.0000 0.5521

# 4
Nb3Ru2W | the Alexandria database | PBE | optimized geometry; polymorph energy (0 for the lowest one) = 0 meV per atom; total energy = -10.48 eV/atom; formation energy from the elements = -192.1 meV/atom; calculated density = 11208 kg/m3
1.0
2.2523 -6.7814 0.0000
2.2523 6.7814 0.0000
0.0000 0.0000 3.2238
Nb Ru W
3 2 1
Direct
0.0000 0.0000 0.0000
0.3354 0.6646 0.0000
0.6646 0.3354 0.0000
0.1695 0.8305 0.5000
0.8305 0.1695 0.5000
0.5000 0.5000 0.5000

# 5
Ho8Se3 | the Alexandria database | PBE | optimized geometry; total energy = -5.13 eV/atom; E_form (uncorrected) = -852 meV per atom; calculated density = 8729 kg/m3
1.0
6.6247 -1.8823 0.0000
6.6247 1.8823 0.0000
-4.7312 0.0000 11.8710
Ho Se
8 3
Direct
0.0380 0.0380 0.1644
0.1287 0.1287 0.4482
0.3422 0.3422 0.9776
0.3599 0.3599 0.2642
0.6401 0.6401 0.7358
0.6578 0.6578 0.0224
0.8713 0.8713 0.5518
0.9620 0.9620 0.8356
0.2885 0.2885 0.6797
0.5000 0.5000 0.5000
0.7115 0.7115 0.3203

# 6
Na2CdBRu | the Alexandria database | PBE | optimized geometry; total energy = -2.11 eV/atom; formation energy from the elements = 1791.9 meV/atom; calculated density = 3091 kg/m3
1.0
5.3277 0.0000 0.0000
0.0000 5.3277 0.0000
0.0000 0.0000 5.1151
Na Cd B Ru
2 1 1 1
Direct
0.0000 0.5000 0.0000
0.5000 0.0000 0.0000
0.0000 0.0000 0.0000
0.5000 0.5000 0.5000
0.0000 0.0000 0.5000

# 7
KHoTc2O8 | the Alexandria database | PBE | optimized geometry; total energy = -7.43 eV/atom; E_form (uncorrected) = -1928 meV per atom; calculated density = 3742 kg/m3
1.0
5.9691 0.0000 0.0000
-2.9846 5.1694 0.0000
0.0000 0.0000 7.5938
K Ho Tc O
1 1 2 8
Direct
0.0000 0.0000 0.0000
0.0000 0.0000 0.5000
0.3333 0.6667 0.7628
0.6667 0.3333 0.2372
0.1695 0.3390 0.6827
0.1695 0.8305 0.6827
0.3333 0.6667 0.9925
0.3390 0.1695 0.3173
0.6610 0.8305 0.6827
0.6667 0.3333 0.0075
0.8305 0.1695 0.3173
0.8305 0.6610 0.3173

# 8
HfTa3Au | the Alexandria database | PBE | optimized geometry; polymorph energy (0 for the lowest one) = 360 meV per atom; total energy = -7.84 eV/atom; formation energy from the elements = 1917.1 meV/atom; calculated density = 13163 kg/m3
1.0
4.8749 0.0000 0.0000
0.0000 4.8749 0.0000
0.0000 0.0000 4.8749
Hf Ta Au
1 3 1
Direct
0.0000 0.0000 0.0000
0.0000 0.0000 0.5000
0.0000 0.5000 0.0000
0.5000 0.0000 0.0000
0.5000 0.5000 0.5000